## CaBe2As (PBE)

Data for a relaxed structure of CaBe2As.

Results
Fermi-level density of states: 0.766 states/eV/cell
total moment: 0.00 Bohr magnetons per cell
energy relative to the elements: -170 meV per atom

Unit cell a=3.825 b=4.342 c=4.467 alpha=89.97 beta=90.00 gamma=90.00
Sites, in units of the cell vectors:
Ca 0.500 0.250 0.250
As 0.500 0.750 0.750
Be 0.000 0.750 0.017
Be 0.000 0.750 0.483

---

## LaScIn2 (PBE)

Data for a relaxed structure of LaScIn2.

Results
Fermi-level density of states: 2.802 states/eV/cell
total moment: 0.00 Bohr magnetons per cell
energy relative to the elements: -339 meV per atom

Unit cell a=6.267 b=6.267 c=4.896 alpha=66.99 beta=66.99 gamma=39.02
Sites, in units of the cell vectors:
La 0.488 0.488 0.512
Sc 0.246 0.246 0.254
In 0.732 0.732 0.768
In 0.034 0.034 0.966

---

Copy entry 1 word for word.
## CaBe2As (PBE)

Data for a relaxed structure of CaBe2As.

Results
Fermi-level density of states: 0.766 states/eV/cell
total moment: 0.00 Bohr magnetons per cell
energy relative to the elements: -170 meV per atom

Unit cell a=3.825 b=4.342 c=4.467 alpha=89.97 beta=90.00 gamma=90.00
Sites, in units of the cell vectors:
Ca 0.500 0.250 0.250
As 0.500 0.750 0.750
Be 0.000 0.750 0.017
Be 0.000 0.750 0.483

---

Question: What is the energy relative to the elements in the first record?
Answer: -170 meV per atom